Material: DyB
Method: DFT, PBE-GGA
State: optimized geometry

Values from the calculation:
Relative energy among the computed polymorphs in meV/atom: 198

Cell lengths 3.4291, 3.4291, 3.6747 Å; angles 90.00, 90.00, 120.00 degrees
With the nearest neighbours (Å) after each atom.
Fractional coordinates of all 2 atoms:
Dy (0.3333, 0.6667, 0.2500)  6 B 2.70
B (0.6667, 0.3333, 0.7500)  6 Dy 2.70

=====

Material: Dy5B
Method: DFT, PBE-GGA
State: optimized geometry

Values from the calculation:
Electronic total energy in eV/atom: -3.696

Cell lengths 6.1623, 6.1623, 5.8874 Å; angles 90.00, 90.00, 120.00 degrees
With the nearest neighbours (Å) after each atom.
Fractional coordinates of all 6 atoms:
Dy (0.6667, 0.3333, 0.0000)  9 Dy 3.44-3.56, 3 B 3.56
Dy (0.3333, 0.6667, 0.0000)  9 Dy 3.44-3.56, 3 B 3.56
Dy (0.0000, 0.5000, 0.5000)  8 Dy 3.08-3.44
Dy (0.5000, 0.0000, 0.5000)  8 Dy 3.08-3.44
Dy (0.5000, 0.5000, 0.5000)  8 Dy 3.08-3.44
B (0.0000, 0.0000, 0.0000)  6 Dy 3.56

=====

Material: DyB
Method: DFT, PBE-GGA
State: optimized geometry

Values from the calculation:
Relative energy among the computed polymorphs in meV/atom: 563

Cell lengths 4.0501, 4.0501, 4.0501 Å; angles 60.00, 60.00, 60.00 degrees
With the nearest neighbours (Å) after each atom.
Fractional coordinates of all 2 atoms:
Dy (0.2500, 0.2500, 0.2500)  4 B 2.48
B (0.0000, 0.0000, 0.0000)  4 Dy 2.48

=====

Material: DyB4
Method: DFT, PBE-GGA
State: optimized geometry

Values from the calculation:
Electronic total energy in eV/atom: -6.861

Cell lengths 7.0843, 7.0843, 4.0118 Å; angles 90.00, 90.00, 90.00 degrees
With the nearest neighbours (Å) after each atom.
Fractional coordinates of all 20 atoms:
B (0.4130, 0.0870, 0.5000)  3 B 1.71-1.74
B (0.3239, 0.5390, 0.5000)  5 B 1.71-1.81
B (0.5390, 0.6761, 0.5000)  5 B 1.71-1.81
B (0.8239, 0.9610, 0.5000)  5 B 1.71-1.81
B (0.9610, 0.1761, 0.5000)  5 B 1.71-1.81
B (0.0000, 0.0000, 0.2027)  5 B 1.63-1.75
B (0.1761, 0.0390, 0.5000)  5 B 1.71-1.81
B (0.6761, 0.4610, 0.5000)  5 B 1.71-1.81
B (0.4610, 0.3239, 0.5000)  5 B 1.71-1.81
B (0.5870, 0.9130, 0.5000)  3 B 1.71-1.74
B (0.5000, 0.5000, 0.2027)  5 B 1.63-1.75
B (0.0390, 0.8239, 0.5000)  5 B 1.71-1.81
B (0.9130, 0.4130, 0.5000)  3 B 1.71-1.74
B (0.5000, 0.5000, 0.7973)  5 B 1.63-1.75
B (0.0000, 0.0000, 0.7973)  5 B 1.63-1.75
B (0.0870, 0.5870, 0.5000)  3 B 1.71-1.74
Dy (0.8185, 0.6815, 0.0000)  16 B 2.72-2.84
Dy (0.6815, 0.1815, 0.0000)  16 B 2.72-2.84
Dy (0.3185, 0.8185, 0.0000)  16 B 2.72-2.84
Dy (0.1815, 0.3185, 0.0000)  16 B 2.72-2.84

=====

Material: DyB
Method: DFT, PBE-GGA
State: optimized geometry

Values from the calculation:
Relative energy among the computed polymorphs in meV/atom: 0

Cell lengths 3.7781, 3.7781, 3.7781 Å; angles 60.00, 60.00, 60.00 degrees
With the nearest neighbours (Å) after each atom.
Fractional coordinates of all 2 atoms:
B (0.0000, 0.0000, 0.0000)  6 Dy 2.67
Dy (0.5000, 0.5000, 0.5000)  6 B 2.67

=====

Material: DyErB4
Method: DFT, PBE-GGA
State: optimized geometry

Values from the calculation:
Electronic total energy in eV/atom: -6.571

Cell lengths 5.0424, 5.0424, 5.0424 Å; angles 142.01, 111.39, 81.21 degrees
With the nearest neighbours (Å) after each atom.
Fractional coordinates of all 6 atoms:
B (0.0831, 0.7497, 0.3333)  3 B 1.89-1.90
B (0.9169, 0.2503, 0.6666)  3 B 1.89-1.90
B (0.5836, 0.2503, 0.3334)  3 B 1.89-1.90
B (0.4164, 0.7497, 0.6667)  3 B 1.89-1.90
Er (0.0000, 0.0000, 0.0000)  12 B 2.69
Dy (0.5000, 0.5000, 0.0000)  12 B 2.69

=====

Asked for total magnetization across the records above, the calculation gives 0.0; 0.2; 0.1; 0.0; 0.4; 0.0 μB/cell in order.